An optimized crystal structure of SiPdN3, computed with PBE-GGA.

Lattice parameters (Å, degrees): 3.5981 3.5981 3.5981 90.00 90.00 90.00
Space group Pm-3m (No. 221)
Unique sites:
Si 0.0000 0.0000 0.0000 x1
Pd 0.5000 0.5000 0.5000 x1
N 0.0000 0.0000 0.5000 x3

Results
Formation energy (no corrections) ... 0.8592 eV per atom
Theoretical density ... 6.29 Mg/m³